Record 1
The following is a PBE calculation of a geometry-optimized Na2RuCCl structure, from the Alexandria database.

The formation energy without anion corrections is 1.416 eV per atom. The crystal system is tetragonal.

The structure belongs to space group P4/mmm (No. 123); the cell edges are 5.747, 5.747 and 4.302 Å and the angles 90.00°, 90.00° and 90.00°. The asymmetric unit holds Na at (0.000, 0.500, 0.000), Ru at (0.000, 0.000, 0.000), C at (0.500, 0.500, 0.500) and Cl at (0.000, 0.000, 0.500).



Record 2
The following is a PBE calculation of a geometry-optimized Ac2Nd12Dy5 structure, from the Alexandria database.

The calculation puts the energy relative to the lowest polymorph listed for this composition at 2 meV/atom. The crystal system is monoclinic. The formation energy is 113 meV/atom.

The structure belongs to space group C2/m (No. 12); the cell edges are 13.351, 11.781 and 9.619 Å and the angles 90.00°, 117.04° and 90.00°. The asymmetric unit holds Ac at (0.000, 0.234, 0.000), Nd at (0.077, 0.000, 0.776), Nd at (0.110, 0.217, 0.426), Nd at (0.127, 0.500, 0.943), Nd at (0.189, 0.257, 0.800), Dy at (0.000, 0.500, 0.500), Dy at (0.190, 0.500, 0.331) and Dy at (0.194, 0.000, 0.243).



Record 3
The following is a PBE calculation of a geometry-optimized Pu2H3I structure, from the Alexandria database.

The calculated total energy comes out at -7.198 eV per atom. The crystal system is monoclinic.

The structure belongs to space group C2/m (No. 12); the cell edges are 13.922, 4.013 and 7.620 Å and the angles 90.00°, 111.88° and 90.00°. The asymmetric unit holds Pu at (0.030, 0.000, 0.260), Pu at (0.166, 0.500, 0.627), H at (0.013, 0.500, 0.368), H at (0.085, 0.000, 0.598), H at (0.195, 0.000, 0.468) and I at (0.149, 0.500, 0.063).



Number 1 is which compound?
Na2RuCCl



What is the formula in the third record?
Pu2H3I



Copy entry 2 word for word.
The following is a PBE calculation of a geometry-optimized Ac2Nd12Dy5 structure, from the Alexandria database.

The calculation puts the energy relative to the lowest polymorph listed for this composition at 2 meV/atom. The crystal system is monoclinic. The formation energy is 113 meV/atom.

The structure belongs to space group C2/m (No. 12); the cell edges are 13.351, 11.781 and 9.619 Å and the angles 90.00°, 117.04° and 90.00°. The asymmetric unit holds Ac at (0.000, 0.234, 0.000), Nd at (0.077, 0.000, 0.776), Nd at (0.110, 0.217, 0.426), Nd at (0.127, 0.500, 0.943), Nd at (0.189, 0.257, 0.800), Dy at (0.000, 0.500, 0.500), Dy at (0.190, 0.500, 0.331) and Dy at (0.194, 0.000, 0.243).